Record 1
A geometry-optimized Nd4AlBi structure. Source: the Alexandria database, functional GGA-PBE.

a = 6.227 Å, b = 8.834 Å, c = 8.474 Å
α = 113.71°, β = 101.45°, γ = 108.91°
Element x y z (fractional)
Nd1 0.735 0.385 0.170
Nd2 0.935 0.785 0.170
Nd3 0.359 0.921 0.631
Nd4 0.228 0.290 0.369
Nd5 0.065 0.215 0.830
Nd6 0.772 0.710 0.631
Nd7 0.265 0.615 0.830
Nd8 0.641 0.079 0.369
Bi1 0.633 0.383 0.765
Bi2 0.367 0.617 0.235
Al1 0.749 0.999 0.998
Al2 0.251 0.001 0.002

Size of the total moment: 0.00 μB/f.u.
Calculated formation energy: -0.41 eV/atom

---

Record 2
A geometry-optimized Nd12Al3Bi5 structure. Source: the Alexandria database, functional GGA-PBE.

a = 16.007 Å, b = 16.007 Å, c = 16.007 Å
α = 109.47°, β = 109.47°, γ = 109.47°
Element x y z (fractional)
Nd1 0.167 0.088 0.728
Nd2 0.140 0.412 0.078
Nd3 0.333 0.562 0.422
Nd4 0.667 0.228 0.588
Nd5 0.438 0.667 0.078
Nd6 0.412 0.272 0.333
Nd7 0.333 0.772 0.412
Nd8 0.912 0.078 0.640
Nd9 0.167 0.078 0.938
Nd10 0.922 0.088 0.860
Nd11 0.078 0.167 0.438
Nd12 0.912 0.833 0.772
Nd13 0.588 0.860 0.422
Nd14 0.922 0.833 0.562
Nd15 0.412 0.140 0.578
Nd16 0.360 0.938 0.772
Nd17 0.078 0.912 0.140
Nd18 0.588 0.728 0.667
Nd19 0.272 0.860 0.938
Nd20 0.578 0.938 0.667
Nd21 0.438 0.772 0.860
Nd22 0.088 0.167 0.228
Nd23 0.578 0.640 0.412
Nd24 0.860 0.272 0.438
Nd25 0.360 0.422 0.088
Nd26 0.728 0.140 0.062
Nd27 0.667 0.438 0.578
Nd28 0.228 0.667 0.088
Nd29 0.062 0.422 0.833
Nd30 0.562 0.333 0.922
Nd31 0.938 0.360 0.272
Nd32 0.860 0.588 0.922
Nd33 0.140 0.728 0.562
Nd34 0.228 0.562 0.640
Nd35 0.062 0.640 0.728
Nd36 0.422 0.360 0.588
Nd37 0.833 0.912 0.272
Nd38 0.562 0.228 0.140
Nd39 0.772 0.438 0.360
Nd40 0.728 0.588 0.167
Nd41 0.640 0.578 0.912
Nd42 0.272 0.412 0.833
Nd43 0.772 0.333 0.912
Nd44 0.088 0.922 0.360
Nd45 0.640 0.062 0.228
Nd46 0.938 0.578 0.167
Nd47 0.833 0.922 0.062
Nd48 0.422 0.062 0.333
Al1 0.250 0.625 0.875
Al2 0.750 0.375 0.125
Al3 0.750 0.875 0.625
Al4 0.875 0.750 0.125
Al5 0.125 0.250 0.875
Al6 0.250 0.125 0.375
Al7 0.875 0.125 0.250
Al8 0.625 0.250 0.375
Al9 0.125 0.875 0.750
Al10 0.625 0.375 0.750
Al11 0.375 0.750 0.625
Al12 0.375 0.625 0.250
Bi1 0.000 0.500 0.000
Bi2 0.125 0.375 0.250
Bi3 0.000 0.500 0.500
Bi4 0.500 0.000 0.000
Bi5 0.750 0.625 0.375
Bi6 0.250 0.375 0.625
Bi7 0.375 0.250 0.125
Bi8 0.125 0.750 0.375
Bi9 0.000 0.000 0.000
Bi10 0.625 0.750 0.875
Bi11 0.250 0.875 0.125
Bi12 0.375 0.125 0.750
Bi13 0.500 0.000 0.500
Bi14 0.500 0.500 0.500
Bi15 0.875 0.250 0.625
Bi16 0.875 0.625 0.750
Bi17 0.750 0.125 0.875
Bi18 0.000 0.000 0.500
Bi19 0.625 0.875 0.250
Bi20 0.500 0.500 0.000

Size of the total moment: 1.87 μB/f.u.
Calculated formation energy: -0.14 eV/atom

---

Record 3
A geometry-optimized Nd3AlBi structure. Source: the Alexandria database, functional GGA-PBE.

a = 4.269 Å, b = 8.537 Å, c = 8.902 Å
α = 93.65°, β = 89.99°, γ = 104.46°
Element x y z (fractional)
Nd1 0.264 0.561 0.020
Nd2 0.427 0.887 0.653
Nd3 0.617 0.267 0.768
Nd4 0.976 0.984 0.010
Nd5 0.068 0.170 0.412
Nd6 0.780 0.593 0.402
Bi1 0.415 0.863 0.280
Bi2 0.629 0.291 0.142
Al1 0.810 0.654 0.776
Al2 0.234 0.501 0.645

Size of the total moment: 0.02 μB/f.u.
Calculated formation energy: -0.49 eV/atom

---

Record 4
A geometry-optimized NdAlBi2 structure. Source: the Alexandria database, functional GGA-PBE.

a = 5.080 Å, b = 5.080 Å, c = 8.715 Å
α = 73.05°, β = 73.05°, γ = 60.00°
Element x y z (fractional)
Al1 0.000 0.000 0.000
Bi1 0.894 0.894 0.318
Bi2 0.106 0.106 0.682
Nd1 0.500 0.500 0.500

Size of the total moment: 0.00 μB/f.u.
Calculated formation energy: 0.11 eV/atom

---

Record 5
A geometry-optimized NdAl2Bi structure. Source: the Alexandria database, functional GGA-PBE.

a = 4.490 Å, b = 4.686 Å, c = 4.686 Å
α = 90.00°, β = 90.00°, γ = 90.00°
Element x y z (fractional)
Al1 0.000 0.500 0.000
Al2 0.000 0.000 0.500
Bi1 0.500 0.500 0.500
Nd1 0.500 0.000 0.000

Size of the total moment: 0.00 μB/f.u.
Calculated formation energy: -0.30 eV/atom

---

Record 6
A geometry-optimized Nd7Al2Bi2 structure. Source: the Alexandria database, functional GGA-PBE.

a = 7.578 Å, b = 6.776 Å, c = 7.578 Å
α = 90.00°, β = 99.53°, γ = 90.00°
Element x y z (fractional)
Nd1 0.500 0.258 0.000
Nd2 0.500 0.755 0.500
Nd3 0.000 0.742 0.500
Nd4 0.500 0.245 0.500
Nd5 0.000 0.258 0.500
Nd6 0.000 0.000 0.000
Nd7 0.500 0.742 0.000
Bi1 0.805 0.500 0.805
Bi2 0.195 0.500 0.195
Al1 0.272 0.000 0.728
Al2 0.728 0.000 0.272

Size of the total moment: 0.00 μB/f.u.
Calculated formation energy: -0.17 eV/atom

---

Record 7
A geometry-optimized Nd5Al2Bi structure. Source: the Alexandria database, functional GGA-PBE.

a = 8.231 Å, b = 8.231 Å, c = 9.241 Å
α = 116.45°, β = 116.45°, γ = 90.00°
Element x y z (fractional)
Nd1 0.313 0.813 0.292
Nd2 0.520 0.687 0.708
Nd3 0.500 0.500 0.000
Nd4 0.813 0.980 0.292
Nd5 0.687 0.187 0.708
Nd6 0.187 0.020 0.708
Nd7 0.020 0.520 0.708
Nd8 0.000 0.000 0.000
Nd9 0.480 0.313 0.292
Nd10 0.980 0.480 0.292
Bi1 0.250 0.250 0.500
Bi2 0.750 0.750 0.500
Al1 0.879 0.621 0.000
Al2 0.379 0.879 0.000
Al3 0.621 0.121 0.000
Al4 0.121 0.379 0.000

Size of the total moment: 1.50 μB/f.u.
Calculated formation energy: -0.43 eV/atom

---

Record 8
A geometry-optimized Nd2AlBiO6 structure. Source: the Alexandria database, functional GGA-PBE.

a = 5.266 Å, b = 5.403 Å, c = 5.403 Å
α = 90.00°, β = 90.00°, γ = 90.00°
Element x y z (fractional)
O1 0.733 0.230 0.230
O2 0.733 0.230 0.770
O3 0.113 0.500 0.500
O4 0.733 0.770 0.770
O5 0.257 0.000 0.000
O6 0.733 0.770 0.230
Bi1 0.554 0.500 0.500
Al1 0.599 0.000 0.000
Nd1 0.996 0.000 0.500
Nd2 0.996 0.500 0.000

Size of the total moment: 0.00 μB/f.u.
Formation energy without anion corrections: -2.5429 eV/atom

---

Record 9
A geometry-optimized Al2Ni2Bi structure. Source: the Alexandria database, functional GGA-PBE.

a = 7.573 Å, b = 7.573 Å, c = 2.847 Å
α = 90.00°, β = 90.00°, γ = 90.00°
Element x y z (fractional)
Ni1 0.347 0.153 0.500
Ni2 0.653 0.847 0.500
Ni3 0.153 0.653 0.500
Ni4 0.847 0.347 0.500
Al1 0.128 0.372 0.000
Al2 0.872 0.628 0.000
Al3 0.372 0.872 0.000
Al4 0.628 0.128 0.000
Bi1 0.500 0.500 0.000
Bi2 0.000 0.000 0.000

Size of the total moment: 0.00 μB/f.u.
Calculated formation energy: -0.07 eV/atom
Excess energy over the best structure of this formula in the dataset: 143 meV/atom

---

Record 10
A geometry-optimized Al2Ni2Bi structure. Source: the Alexandria database, functional GGA-PBE.

a = 3.779 Å, b = 3.779 Å, c = 6.340 Å
α = 72.66°, β = 72.66°, γ = 90.00°
Element x y z (fractional)
Bi1 0.000 0.000 0.000
Ni1 0.386 0.386 0.228
Ni2 0.614 0.614 0.772
Al1 0.750 0.250 0.500
Al2 0.250 0.750 0.500

Size of the total moment: 0.00 μB/f.u.
Calculated formation energy: -0.21 eV/atom
Excess energy over the best structure of this formula in the dataset: 0 meV/atom

---

Record 11
A geometry-optimized AlNiBi3 structure. Source: the Alexandria database, functional GGA-PBE.

a = 5.184 Å, b = 5.184 Å, c = 5.184 Å
α = 90.00°, β = 90.00°, γ = 90.00°
Element x y z (fractional)
Ni1 0.000 0.000 0.000
Al1 0.500 0.500 0.500
Bi1 0.500 0.000 0.000
Bi2 0.000 0.500 0.000
Bi3 0.000 0.000 0.500

Size of the total moment: 0.00 μB/f.u.
Calculated formation energy: 0.44 eV/atom
Excess energy over the best structure of this formula in the dataset: 0 meV/atom

---

Record 12
A geometry-optimized Al2Ni2Bi structure. Source: the Alexandria database, functional GGA-PBE.

a = 7.358 Å, b = 7.358 Å, c = 2.948 Å
α = 90.00°, β = 90.00°, γ = 90.00°
Element x y z (fractional)
Bi1 0.500 0.500 0.000
Bi2 0.000 0.000 0.000
Ni1 0.643 0.143 0.000
Ni2 0.143 0.357 0.000
Ni3 0.357 0.857 0.000
Ni4 0.857 0.643 0.000
Al1 0.360 0.140 0.500
Al2 0.860 0.360 0.500
Al3 0.640 0.860 0.500
Al4 0.140 0.640 0.500

Size of the total moment: 0.00 μB/f.u.
Calculated formation energy: -0.14 eV/atom
Excess energy over the best structure of this formula in the dataset: 67 meV/atom

---

Record 13
A geometry-optimized AlNi3Bi structure. Source: the Alexandria database, functional GGA-PBE.

a = 4.745 Å, b = 4.745 Å, c = 4.745 Å
α = 90.00°, β = 90.00°, γ = 90.00°
Element x y z (fractional)
Ni1 0.500 0.000 0.000
Ni2 0.000 0.000 0.500
Ni3 0.000 0.500 0.000
Bi1 0.000 0.000 0.000
Al1 0.500 0.500 0.500

Size of the total moment: 0.00 μB/f.u.
Calculated formation energy: 1.11 eV/atom
Excess energy over the best structure of this formula in the dataset: 712 meV/atom

---

Record 14
A geometry-optimized AlNi3Bi structure. Source: the Alexandria database, functional GGA-PBE.

a = 4.398 Å, b = 4.398 Å, c = 4.398 Å
α = 90.00°, β = 90.00°, γ = 90.00°
Element x y z (fractional)
Bi1 0.500 0.500 0.500
Ni1 0.500 0.000 0.000
Ni2 0.000 0.500 0.000
Ni3 0.000 0.000 0.500
Al1 0.000 0.000 0.000

Size of the total moment: 0.00 μB/f.u.
Calculated formation energy: 0.40 eV/atom
Excess energy over the best structure of this formula in the dataset: 0 meV/atom